The following is a DFT calculation (GGA-PBE) of crystalline MgTa3As at its relaxed geometry.

Cell: 4.776 4.776 4.776 Å, 90.00 90.00 90.00°
Space group Pm-3m (No. 221)
Inequivalent atoms, fractional coordinates:
Mg 0.000 0.000 0.000 [1 per cell]
Ta 0.000 0.500 0.500 [3 per cell]
As 0.500 0.500 0.500 [1 per cell]

Values from the calculation:
The calculation puts the magnetization at 0.000 μB/cell. The uncorrected energy comes out at -7.5257 eV per atom. The crystal system is cubic. The formation energy is 403 kJ/mol of formula units. The density comes out at 9.79 Mg/m³. The energy above the most stable polymorph in this dataset comes out at 0.00 eV per formula unit.